## MnTcSe2 (GGA-PBE)

Data for a relaxed structure of MnTcSe2.

a = 8.240 Å, b = 8.240 Å, c = 8.240 Å
α = 21.81°, β = 21.81°, γ = 21.81°
Each line ends with the local moment (μB).
Fractional coordinates of all 4 atoms:
Mn 0.500 0.500 0.500  2.16
Se 0.100 0.100 0.100  -0.06
Tc 0.000 0.000 0.000  0.19
Se 0.900 0.900 0.900  -0.06

The total magnetization is 2.27 μB per formula unit. As for the formation energy from raw total energies: 193 meV/atom. As for the space group: R-3m, No. 166.

=====

## CuTe3H (GGA-PBE)

Data for a relaxed structure of CuTe3H.

a = 4.678 Å, b = 4.678 Å, c = 4.678 Å
α = 90.00°, β = 90.00°, γ = 90.00°
Fractional coordinates of all 5 atoms:
Te 0.000 0.000 0.500
Te 0.000 0.500 0.000
Cu 0.500 0.500 0.500
H 0.000 0.000 0.000
Te 0.500 0.000 0.000

The total magnetization is 0.00 μB per formula unit. As for the space group: Pm-3m, No. 221.

=====

## ZrFeB2 (GGA-PBE)

Data for a relaxed structure of ZrFeB2.

a = 3.846 Å, b = 3.846 Å, c = 7.101 Å
α = 74.29°, β = 74.29°, γ = 90.00°
Fractional coordinates of all 8 atoms:
B 0.375 0.125 0.250
Fe 0.250 0.750 0.500
B 0.875 0.625 0.750
Fe 0.500 0.500 0.000
B 0.375 0.625 0.250
Zr 0.000 0.000 0.000
B 0.375 0.625 0.750
Zr 0.750 0.250 0.500

The total magnetization is 0.00 μB per formula unit. Its formation energy is -0.783 eV/f.u. As for the space group: I4_1/amd, No. 141.

=====

## NiGeAs3 (GGA-PBE)

Data for a relaxed structure of NiGeAs3.

a = 9.956 Å, b = 6.056 Å, c = 4.052 Å
α = 65.47°, β = 89.98°, γ = 89.98°
Fractional coordinates of all 10 atoms:
As 0.233 0.223 0.529
As 0.530 0.033 0.310
As 0.030 0.321 0.788
As 0.980 0.878 0.231
Ge 0.130 0.789 0.786
Ni 0.249 0.430 0.908
As 0.733 0.129 0.569
Ni 0.749 0.922 0.190
Ge 0.630 0.563 0.314
As 0.480 0.476 0.867

The total magnetization is 0.00 μB per formula unit. Its formation energy is 0.143 eV/f.u. As for the space group: P1, No. 1.

=====

no.,density (g cm⁻³),relative energy among the computed polymorphs (eV per atom),E_tot (eV for the cell shown)
1,7.63,0.494,-25.73
2,7.26,0.636,-13.09
3,5.77,0.000,-62.30
4,5.32,0.000,-48.41